CoAgCl6: optimized geometry, PBE-GGA.

Lattice parameters (Å, degrees): 5.9104 5.9366 6.4311 63.18 89.74 60.50
Atoms (fractional coordinates):
Co: 0.0000 0.0000 0.0000
Ag: 0.5000 0.0000 0.5000
Cl: 0.0479 0.5542 0.2302
Cl: 0.2230 0.8297 0.7662
Cl: 0.3984 0.8216 0.2335
Cl: 0.6016 0.1784 0.7665
Cl: 0.7770 0.1703 0.2338
Cl: 0.9521 0.4458 0.7698

- VASP energy: -2.919 eV/atom